(1)
VASP calculation (PBE-GGA) on NaHoSeS after structural relaxation.

Cell lengths 4.046, 4.046, 7.231 Å; angles 73.76, 73.76, 60.00 degrees
Positions (direct):
Se: 0.257 0.257 0.229
Na: 0.498 0.498 0.507
S: 0.742 0.742 0.775
Ho: 0.004 0.004 0.988

Properties
magnetization = 0.0 μB/f.u.
total energy = -5.15 eV/atom
D(E_F) = 0.00 states/eV/cell
formation energy (no corrections) = -40.90 kcal/mol of atoms

---

(2)
VASP calculation (PBE-GGA) on BaReSn2 after structural relaxation.

Cell lengths 5.179, 5.179, 5.179 Å; angles 60.00, 60.00, 60.00 degrees
Positions (direct):
Re: 0.500 0.500 0.500
Sn: 0.250 0.250 0.250
Sn: 0.750 0.750 0.750
Ba: 0.000 0.000 0.000

Properties
polymorph energy (0 for the lowest one) = 255.8 meV per atom
magnetization = 0.4 μB/f.u.
formation energy from the elements = 0.55 eV per atom
total energy = -5.05 eV/atom
D(E_F) = 4.47 states/eV/cell

---

(3)
VASP calculation (PBE-GGA) on SrTi3Cr after structural relaxation.

Cell lengths 4.655, 4.655, 4.655 Å; angles 90.00, 90.00, 90.00 degrees
Positions (direct):
Cr: 0.500 0.500 0.500
Sr: 0.000 0.000 0.000
Ti: 0.000 0.000 0.500
Ti: 0.500 0.000 0.000
Ti: 0.000 0.500 0.000

Properties
polymorph energy (0 for the lowest one) = 1781.9 meV per atom
magnetization = 0.5 μB/f.u.
formation energy from the elements = 2.32 eV per atom
total energy = -4.68 eV/atom
D(E_F) = 8.99 states/eV/cell